No. 1
Crystalline K3Mg2TlF9 at its relaxed geometry. Source: Alexandria via LeMat-Bulk, functional PBE-GGA.

```
K3Mg2TlF9
1.0
5.9675 0.0000 0.0000
-2.9838 5.1680 0.0000
0.0000 0.0000 7.5754
K F Mg Tl
3 9 2 1
Cartesian
2.9838 1.7227 2.3966
0.0000 0.0000 0.0000
0.0000 3.4453 5.1788
1.5929 0.9196 5.2738
-1.3909 4.2484 2.3016
4.3746 0.9196 5.2738
1.3909 4.2484 2.3016
-1.4919 2.5840 0.0000
2.9838 0.0000 0.0000
1.4919 2.5840 0.0000
0.0000 1.8393 2.3016
2.9837 3.3287 5.2738
0.0000 3.4453 1.1049
2.9838 1.7227 6.4704
0.0000 0.0000 3.7877
```

## Properties
calculated density	3.85	Mg/m³
spin magnetization	0.022	μB/atom
raw total energy	-4.584	eV/atom
calculated volume	233.63	Å³/f.u.
formation energy from raw total energies	-2871.5	meV per atom



No. 2
Crystalline Sr5ZnCd at its relaxed geometry. Source: Alexandria via LeMat-Bulk, functional PBE-GGA.

```
Sr5ZnCd
1.0
7.7533 0.6904 -0.1446
3.1146 7.1337 -0.1446
3.7558 2.7039 11.6911
Sr Cd Zn
10 2 2
Cartesian
4.5488 1.6120 4.0925
10.0749 8.9161 7.3096
9.2298 5.1163 5.4811
5.3939 5.4118 5.9209
4.9655 2.0463 0.0753
9.7739 5.3738 1.4640
9.6581 8.4818 11.3267
8.4907 1.6463 2.7782
4.8497 5.1543 9.9380
6.1329 8.8818 8.6238
8.1681 6.0549 8.6238
6.4556 4.4732 2.7782
0.0000 0.0000 0.0000
1.8779 1.3520 5.8456
```

## Properties
calculated density	3.26	Mg/m³
spin magnetization	0.000	μB/atom
raw total energy	-1.550	eV/atom
calculated volume	313.40	Å³/f.u.
energy relative to the elements	-0.036	eV/atom



Copy entry 1 word for word.
Crystalline K3Mg2TlF9 at its relaxed geometry. Source: Alexandria via LeMat-Bulk, functional PBE-GGA.

```
K3Mg2TlF9
1.0
5.9675 0.0000 0.0000
-2.9838 5.1680 0.0000
0.0000 0.0000 7.5754
K F Mg Tl
3 9 2 1
Cartesian
2.9838 1.7227 2.3966
0.0000 0.0000 0.0000
0.0000 3.4453 5.1788
1.5929 0.9196 5.2738
-1.3909 4.2484 2.3016
4.3746 0.9196 5.2738
1.3909 4.2484 2.3016
-1.4919 2.5840 0.0000
2.9838 0.0000 0.0000
1.4919 2.5840 0.0000
0.0000 1.8393 2.3016
2.9837 3.3287 5.2738
0.0000 3.4453 1.1049
2.9838 1.7227 6.4704
0.0000 0.0000 3.7877
```

## Properties
calculated density	3.85	Mg/m³
spin magnetization	0.022	μB/atom
raw total energy	-4.584	eV/atom
calculated volume	233.63	Å³/f.u.
formation energy from raw total energies	-2871.5	meV per atom



Q: Among the records above, which one has the lowest spin magnetization?
A: Sr5ZnCd



Q: What is the spin magnetization in the first record?
A: 0.022 μB/atom